# TmScTlPd

Crystalline TmScTlPd at its relaxed geometry (PBE, Alexandria).

Summary:
SG: No. 99
Calculated formation energy in eV/atom: -0.60
Final energy in eV/atom: -5.19
ρ in Mg/m³: 9.8
Distance to the lowest polymorph of the same formula in eV/atom: 0.0000

a b c (Å): 3.474 3.474 7.336
angles (deg): 90.00 90.00 90.00
Atoms (fractional coordinates):
Tl: 0.500 0.500 0.125
Pd: 0.500 0.500 0.587
Tm: 0.000 0.000 0.829
Sc: 0.000 0.000 0.387

---

# LaHf3Si

Crystalline LaHf3Si at its relaxed geometry (PBE, Alexandria).

Summary:
SG: No. 221
Final energy in eV/atom: -6.27
ρ in Mg/m³: 8.8
ΔE_f (raw) in eV/atom: 1.77
Distance to the lowest polymorph of the same formula in eV/atom: 1.5876

a b c (Å): 5.095 5.095 5.095
angles (deg): 90.00 90.00 90.00
Atoms (fractional coordinates):
Hf: 0.000 0.000 0.500
Hf: 0.500 0.000 0.000
Hf: 0.000 0.500 0.000
Si: 0.500 0.500 0.500
La: 0.000 0.000 0.000

---

# FeTcSe2

Crystalline FeTcSe2 at its relaxed geometry (PBE, Alexandria).

Summary:
SG: No. 8
Final energy in eV/atom: -6.55
ρ in Mg/m³: 5.6
ΔE_f (raw) in eV/atom: -0.10
Distance to the lowest polymorph of the same formula in eV/atom: 0.1338

a b c (Å): 4.417 4.417 6.757
angles (deg): 97.16 97.16 45.15
Atoms (fractional coordinates):
Tc: 0.494 0.494 0.350
Se: 0.716 0.716 0.633
Se: 0.052 0.052 0.109
Fe: 0.239 0.239 0.408

---

Please write out number 1 again, unchanged.
# TmScTlPd

Crystalline TmScTlPd at its relaxed geometry (PBE, Alexandria).

Summary:
SG: No. 99
Calculated formation energy in eV/atom: -0.60
Final energy in eV/atom: -5.19
ρ in Mg/m³: 9.8
Distance to the lowest polymorph of the same formula in eV/atom: 0.0000

a b c (Å): 3.474 3.474 7.336
angles (deg): 90.00 90.00 90.00
Atoms (fractional coordinates):
Tl: 0.500 0.500 0.125
Pd: 0.500 0.500 0.587
Tm: 0.000 0.000 0.829
Sc: 0.000 0.000 0.387

---

What did the third record say?
# FeTcSe2

Crystalline FeTcSe2 at its relaxed geometry (PBE, Alexandria).

Summary:
SG: No. 8
Final energy in eV/atom: -6.55
ρ in Mg/m³: 5.6
ΔE_f (raw) in eV/atom: -0.10
Distance to the lowest polymorph of the same formula in eV/atom: 0.1338

a b c (Å): 4.417 4.417 6.757
angles (deg): 97.16 97.16 45.15
Atoms (fractional coordinates):
Tc: 0.494 0.494 0.350
Se: 0.716 0.716 0.633
Se: 0.052 0.052 0.109
Fe: 0.239 0.239 0.408

---

Repeat the second record exactly.
# LaHf3Si

Crystalline LaHf3Si at its relaxed geometry (PBE, Alexandria).

Summary:
SG: No. 221
Final energy in eV/atom: -6.27
ρ in Mg/m³: 8.8
ΔE_f (raw) in eV/atom: 1.77
Distance to the lowest polymorph of the same formula in eV/atom: 1.5876

a b c (Å): 5.095 5.095 5.095
angles (deg): 90.00 90.00 90.00
Atoms (fractional coordinates):
Hf: 0.000 0.000 0.500
Hf: 0.500 0.000 0.000
Hf: 0.000 0.500 0.000
Si: 0.500 0.500 0.500
La: 0.000 0.000 0.000